Entry from Alexandria via LeMat-Bulk: crystalline CaTaBe at its relaxed geometry (PBE).

Values from the calculation:
ΔE to the lowest computed polymorph: 626 meV per atom
ΔH_f (0 K): 1.0973 eV/atom
D(E_F): 4.07 states/eV/f.u.
total magnetization: 0.08 Bohr magnetons per cell

Cell: 6.2886 6.2886 6.2886 Å, 90.00 90.00 90.00°
With the nearest neighbours (Å) after each atom.
Space group F-43m (No. 216)
Unique sites:
1 Ca 0.0000 0.0000 0.0000 [4 per cell]  4 Be 2.72
2 Ta 0.0000 0.0000 0.5000 [4 per cell]  4 Be 2.72
3 Be 0.2500 0.2500 0.2500 [4 per cell]  4 Ta 2.72, 4 Ca 2.72


Entry from Alexandria via LeMat-Bulk: crystalline Ca2TaBe at its relaxed geometry (PBE).

Values from the calculation:
ΔH_f (0 K): 0.9513 eV/atom
D(E_F): 5.14 states/eV/f.u.
total magnetization: 3.10 Bohr magnetons per cell

Cell: 4.6645 4.6645 8.2902 Å, 90.00 90.00 90.00°
With the nearest neighbours (Å) after each atom.
Space group I-4m2 (No. 119)
Unique sites:
1 Ca 0.0000 0.0000 0.0000 [2 per cell]  4 Ta 3.12, 4 Ca 3.12, 4 Be 3.30
2 Ca 0.0000 0.5000 0.2500 [2 per cell]  4 Be 3.12, 4 Ca 3.12, 4 Ta 3.30
3 Ta 0.0000 0.5000 0.7500 [2 per cell]  8 Ca 3.12-3.30, 4 Be 3.12
4 Be 0.0000 0.0000 0.5000 [2 per cell]  4 Ta 3.12, 8 Ca 3.12-3.30


Entry from Alexandria via LeMat-Bulk: crystalline CaTaBe3 at its relaxed geometry (PBE).

Values from the calculation:
ΔE to the lowest computed polymorph: 1024 meV per atom
ΔH_f (0 K): 2.0297 eV/atom
D(E_F): 2.47 states/eV/f.u.
total magnetization: 0.00 Bohr magnetons per cell

Cell: 4.2693 4.2693 4.2693 Å, 90.00 90.00 90.00°
With the nearest neighbours (Å) after each atom.
Space group Pm-3m (No. 221)
Unique sites:
1 Ca 0.0000 0.0000 0.0000 [1 per cell]  6 Be 2.13
2 Ta 0.5000 0.5000 0.5000 [1 per cell]  12 Be 3.02
3 Be 0.0000 0.0000 0.5000 [3 per cell]  2 Ca 2.13


Entry from Alexandria via LeMat-Bulk: crystalline CaTbBeZn at its relaxed geometry (PBE).

Values from the calculation:
ΔH_f (0 K): -0.0075 eV/atom
D(E_F): 3.80 states/eV/f.u.
total magnetization: 0.00 Bohr magnetons per cell

Cell: 7.0761 7.0761 7.0761 Å, 90.00 90.00 90.00°
With the nearest neighbours (Å) after each atom.
Space group F-43m (No. 216)
Unique sites:
1 Ca 0.0000 0.0000 0.0000 [4 per cell]  4 Zn 3.06, 4 Be 3.06
2 Tb 0.0000 0.0000 0.5000 [4 per cell]  4 Be 3.06, 4 Zn 3.06
3 Be 0.2500 0.2500 0.2500 [4 per cell]  4 Tb 3.06, 4 Ca 3.06
4 Zn 0.2500 0.2500 0.7500 [4 per cell]  4 Tb 3.06, 4 Ca 3.06


Entry from Alexandria via LeMat-Bulk: crystalline CaBe2Tc at its relaxed geometry (PBE).

Values from the calculation:
ΔE to the lowest computed polymorph: 694 meV per atom
ΔH_f (0 K): 0.7951 eV/atom
D(E_F): 4.26 states/eV/f.u.
total magnetization: 0.00 Bohr magnetons per cell

Cell: 6.1836 6.1836 6.1836 Å, 90.00 90.00 90.00°
With the nearest neighbours (Å) after each atom.
Space group F-43m (No. 216)
Unique sites:
1 Ca 0.0000 0.0000 0.0000 [4 per cell]  4 Tc 2.68, 4 Be 2.68
2 Be 0.0000 0.0000 0.5000 [4 per cell]  4 Tc 2.68, 4 Be 2.68
3 Be 0.2500 0.2500 0.2500 [4 per cell]  4 Be 2.68, 4 Ca 2.68
4 Tc 0.2500 0.2500 0.7500 [4 per cell]  4 Be 2.68, 4 Ca 2.68


Entry from Alexandria via LeMat-Bulk: crystalline CaBe2Tc at its relaxed geometry (PBE).

Values from the calculation:
ΔE to the lowest computed polymorph: 0 meV per atom
ΔH_f (0 K): 0.1006 eV/atom
D(E_F): 3.06 states/eV/f.u.
total magnetization: 0.53 Bohr magnetons per cell

Cell: 3.1167 3.1329 6.0960 Å, 90.00 90.00 90.00°
With the nearest neighbours (Å) after each atom.
Space group Pmmm (No. 47)
Unique sites:
1 Ca 0.0000 0.0000 0.0000 [1 per cell]  8 Be 3.00, 2 Tc 3.05, 4 Ca 3.12-3.13
2 Be 0.5000 0.5000 0.3338 [2 per cell]  1 Be 2.03
3 Tc 0.0000 0.0000 0.5000 [1 per cell]  8 Be 2.43


Entry from Alexandria via LeMat-Bulk: crystalline CaBe2Tc at its relaxed geometry (PBE).

Values from the calculation:
ΔE to the lowest computed polymorph: 386 meV per atom
ΔH_f (0 K): 0.4871 eV/atom
D(E_F): 3.48 states/eV/f.u.
total magnetization: 1.00 Bohr magnetons per cell

Cell: 6.1507 6.1507 6.1507 Å, 90.00 90.00 90.00°
With the nearest neighbours (Å) after each atom.
Space group Fm-3m (No. 225)
Unique sites:
1 Ca 0.0000 0.0000 0.0000 [4 per cell]  8 Be 2.66
2 Be 0.2500 0.2500 0.2500 [8 per cell]  4 Tc 2.66, 4 Ca 2.66
3 Tc 0.0000 0.0000 0.5000 [4 per cell]  8 Be 2.66


Entry from Alexandria via LeMat-Bulk: crystalline CaBeTc2 at its relaxed geometry (PBE).

Values from the calculation:
ΔH_f (0 K): 0.6269 eV/atom
D(E_F): 4.68 states/eV/f.u.
total magnetization: 0.00 Bohr magnetons per cell

Cell: 2.8229 2.8229 26.9396 Å, 90.00 90.00 120.00°
With the nearest neighbours (Å) after each atom.
Space group R-3m (No. 166, hexagonal axes)
Unique sites:
1 Ca 0.0000 0.0000 0.0000 [3 per cell]  6 Ca 2.82, 6 Tc 3.07
2 Be 0.0000 0.0000 0.5000 [3 per cell]  6 Tc 2.50
3 Tc 0.0000 0.0000 0.2368 [6 per cell]  3 Be 2.50


Repeat the first record exactly.
Entry from Alexandria via LeMat-Bulk: crystalline CaTaBe at its relaxed geometry (PBE).

Values from the calculation:
ΔE to the lowest computed polymorph: 626 meV per atom
ΔH_f (0 K): 1.0973 eV/atom
D(E_F): 4.07 states/eV/f.u.
total magnetization: 0.08 Bohr magnetons per cell

Cell: 6.2886 6.2886 6.2886 Å, 90.00 90.00 90.00°
With the nearest neighbours (Å) after each atom.
Space group F-43m (No. 216)
Unique sites:
1 Ca 0.0000 0.0000 0.0000 [4 per cell]  4 Be 2.72
2 Ta 0.0000 0.0000 0.5000 [4 per cell]  4 Be 2.72
3 Be 0.2500 0.2500 0.2500 [4 per cell]  4 Ta 2.72, 4 Ca 2.72


The highest ΔH_f (0 K) belongs to which entry?
CaTaBe3